Entry 1:
Computed, not measured: a relaxed structure of Ac2SnTe at the PBE-GGA level of DFT.

Summary:
Raw formation energy, meV/atom: -1062.0
Theoretical density, g cm⁻³: 7.26
Raw total energy, eV per atom: -4.90
Distance to the lowest polymorph of the same formula, meV/atom: 95.9
Symmetry: R3m

Cell and atoms, written as POSCAR:
```
Ac2SnTe
1.0
2.373 1.370 8.207
-2.373 1.370 8.207
0.000 -2.741 8.207
Ac Sn Te
2 1 1
Cartesian
0.000 0.000 0.000 Ac
0.000 0.000 4.440 Ac
0.000 0.000 14.538 Sn
0.000 0.000 10.376 Te
```

Entry 2:
Computed, not measured: a relaxed structure of AcSn2Te5 at the PBE-GGA level of DFT.

Summary:
Raw formation energy, meV/atom: -543.4
Theoretical density, g cm⁻³: 6.96
Raw total energy, eV per atom: -4.02
Symmetry: I4/mcm

Cell and atoms, written as POSCAR:
```
AcSn2Te5
1.0
-4.408 4.408 6.769
4.408 -4.408 6.769
4.408 4.408 -6.769
Ac Sn Te
2 4 10
Cartesian
0.000 0.000 3.384 Ac
0.000 0.000 10.153 Ac
5.822 1.414 0.000 Sn
1.414 2.994 0.000 Sn
2.994 1.414 6.769 Sn
-1.414 2.994 6.769 Sn
0.000 0.000 0.000 Te
2.876 1.532 -2.166 Te
2.876 -1.532 4.603 Te
2.876 1.532 2.166 Te
2.876 -1.532 8.934 Te
0.000 0.000 6.769 Te
1.532 5.940 -2.166 Te
1.532 2.876 4.603 Te
1.532 5.940 2.166 Te
1.532 2.876 8.934 Te
```

Entry 3:
Computed, not measured: a relaxed structure of Ac6SnTe12 at the PBE-GGA level of DFT.

Summary:
Raw formation energy, meV/atom: -1204.2
Theoretical density, g cm⁻³: 6.37
Raw total energy, eV per atom: -4.70
Symmetry: R-3

Cell and atoms, written as POSCAR:
```
Ac6SnTe12
1.0
7.042 4.066 4.571
-7.042 4.066 4.571
0.000 -8.131 4.571
Ac Sn Te
6 1 12
Cartesian
-4.787 -1.249 7.337 Ac
-1.312 -4.770 6.375 Ac
-3.475 3.521 6.375 Ac
3.475 -3.521 7.337 Ac
1.312 4.770 7.337 Ac
4.787 1.249 6.375 Ac
0.000 0.000 6.856 Sn
-6.007 1.473 5.993 Te
-4.279 -4.466 7.719 Te
-2.112 -1.616 5.184 Te
1.728 -5.939 5.993 Te
-0.343 2.637 5.184 Te
-2.455 1.022 8.528 Te
2.455 -1.022 5.184 Te
0.343 -2.637 8.528 Te
-1.728 5.939 7.719 Te
2.112 1.616 8.528 Te
4.279 4.466 5.993 Te
6.007 -1.473 7.719 Te
```

Entry 4:
Computed, not measured: a relaxed structure of AcSn2Te at the PBE-GGA level of DFT.

Summary:
Raw formation energy, meV/atom: -224.2
Theoretical density, g cm⁻³: 7.64
Raw total energy, eV per atom: -4.04
Distance to the lowest polymorph of the same formula, meV/atom: 395.0
Symmetry: R-3m

Cell and atoms, written as POSCAR:
```
AcSn2Te
1.0
2.919 1.685 4.361
-2.919 1.685 4.361
0.000 -3.371 4.361
Ac Sn Te
1 2 1
Cartesian
0.000 0.000 0.000 Ac
0.000 0.000 3.466 Sn
0.000 0.000 9.615 Sn
0.000 0.000 6.541 Te
```

Entry 5:
Computed, not measured: a relaxed structure of AcSn5Te7 at the PBE-GGA level of DFT.

Summary:
Raw formation energy, meV/atom: -505.8
Theoretical density, g cm⁻³: 6.38
Raw total energy, eV per atom: -4.05
Symmetry: Cm

Cell and atoms, written as POSCAR:
```
AcSn5Te7
1.0
7.473 -2.256 0.000
7.473 2.256 0.000
-0.013 0.000 26.444
Ac Sn Te
2 10 14
Cartesian
0.000 0.000 0.000 Ac
8.766 0.000 13.230 Ac
0.831 0.000 8.779 Sn
1.082 0.000 18.103 Sn
3.633 0.000 2.969 Sn
3.958 0.000 23.893 Sn
4.800 0.000 10.670 Sn
5.123 0.000 16.187 Sn
7.674 0.000 4.884 Sn
7.927 0.000 21.996 Sn
11.778 0.000 6.737 Sn
11.920 0.000 19.949 Sn
2.235 0.000 5.844 Te
2.483 0.000 20.999 Te
3.687 0.000 13.476 Te
5.079 0.000 0.258 Te
6.275 0.000 7.781 Te
6.521 0.000 19.062 Te
8.979 0.000 2.112 Te
9.319 0.000 24.687 Te
10.162 0.000 9.927 Te
10.561 0.000 17.164 Te
13.135 0.000 3.956 Te
13.539 0.000 23.140 Te
14.382 0.000 11.468 Te
14.721 0.000 15.333 Te
```

Entry 6:
Computed, not measured: a relaxed structure of AcSnTe2 at the PBE-GGA level of DFT.

Summary:
Raw formation energy, meV/atom: -893.9
Theoretical density, g cm⁻³: 7.25
Raw total energy, eV per atom: -4.49
Symmetry: P-1

Cell and atoms, written as POSCAR:
```
AcSnTe2
1.0
5.064 0.000 0.000
0.005 6.655 0.000
0.007 2.882 8.172
Ac Sn Te
2 2 4
Cartesian
1.268 1.613 1.508 Ac
3.809 7.923 6.663 Ac
1.272 3.505 5.161 Sn
3.805 6.032 3.010 Sn
1.269 4.965 0.718 Te
1.277 6.608 4.656 Te
3.800 2.928 3.515 Te
3.807 4.571 7.453 Te
```